VASP calculation (PBE) on CsNdTe3Pb after structural relaxation.

Output
**ρ**: 5.4 g/cm3
**Raw total energy**: -4.1542 eV per atom
**Uncorrected formation energy**: -1028 meV/atom
**Magnetic moment**: 0.00 μB per cell

Cell: 10.5893 4.5981 11.2914 Å, 90.00 105.26 90.00°
Last column: nearest neighbours and their distance in Å.
Fractional coordinates of all 12 atoms:
Cs 0.1905 0.2500 0.2238  4 Te 3.77-4.06, 1 Pb 4.12
Cs 0.8095 0.7500 0.7762  4 Te 3.77-4.06, 1 Pb 4.12
Nd 0.3574 0.7500 0.8514  6 Te 3.15-3.25
Nd 0.6426 0.2500 0.1486  6 Te 3.15-3.25
Te 0.1363 0.2500 0.8357  1 Pb 2.99, 2 Nd 3.25
Te 0.3141 0.7500 0.5574  2 Pb 3.06, 1 Nd 3.23
Te 0.4365 0.7500 0.1404  3 Nd 3.15
Te 0.5635 0.2500 0.8596  3 Nd 3.15
Te 0.6859 0.2500 0.4426  2 Pb 3.06, 1 Nd 3.23
Te 0.8637 0.7500 0.1643  1 Pb 2.99, 2 Nd 3.25
Pb 0.1265 0.2500 0.5685  3 Te 2.99-3.06
Pb 0.8735 0.7500 0.4315  3 Te 2.99-3.06